1.
Here is CsCd2Sn2 after structural relaxation from Alexandria. Energies are from PBE-GGA.

POSCAR file:
```
CsCd2Sn2
1.0
7.683 0.000 0.000
-3.595 7.030 0.000
-2.031 -3.495 6.886
Cs Cd Sn
2 4 4
Direct
0.126 0.377 0.254
0.874 0.623 0.746
0.166 0.918 0.337
0.459 0.709 0.914
0.541 0.291 0.086
0.834 0.082 0.663
0.271 0.254 0.716
0.447 0.964 0.715
0.553 0.036 0.285
0.729 0.746 0.284
```

Properties
The value obtained for the formation energy is -0.0810 eV per atom. As for the space-group type: P-1. Its volume is 186.0 Å³/f.u. Its polymorph energy (0 for the lowest one) is 68 meV per atom.

***

2.
Here is CsCdSn after structural relaxation from Alexandria. Energies are from PBE-GGA.

POSCAR file:
```
CsCdSn
1.0
5.196 0.000 0.000
-1.201 7.505 0.000
-2.367 -2.302 6.879
Cs Cd Sn
2 2 2
Direct
0.216 0.199 0.338
0.784 0.801 0.662
0.473 0.714 0.075
0.527 0.286 0.925
0.008 0.639 0.194
0.992 0.361 0.806
```

Properties
The value obtained for the formation energy is -0.1370 eV per atom. As for the space-group type: P-1. Its volume is 134.1 Å³/f.u. Its polymorph energy (0 for the lowest one) is 0 meV per atom.

***

3.
Here is Cs3Cd2Sn9 after structural relaxation from Alexandria. Energies are from PBE-GGA.

POSCAR file:
```
Cs3Cd2Sn9
1.0
-2.408 6.922 7.218
2.408 -6.922 7.218
2.408 6.922 -7.218
Cs Cd Sn
3 2 9
Direct
0.000 0.000 0.000
0.265 0.265 0.000
0.735 0.735 0.000
0.361 0.500 0.861
0.639 0.500 0.139
0.060 0.380 0.680
0.147 0.842 0.305
0.301 0.620 0.680
0.462 0.158 0.305
0.500 0.000 0.500
0.538 0.842 0.695
0.699 0.380 0.320
0.853 0.158 0.695
0.940 0.620 0.320
```

Properties
The value obtained for the formation energy is -0.1215 eV per atom. As for the space-group type: Immm. Its volume is 481.2 Å³/f.u.